## TbZrO (PBE)

Data for a relaxed TbZrO crystal.

a = 3.468 Å, b = 3.739 Å, c = 10.557 Å
α = 79.80°, β = 90.00°, γ = 90.00°
Sites, in units of the cell vectors:
Zr: 0.750 0.696 0.609
Zr: 0.250 0.304 0.391
Tb: 0.250 0.079 0.841
Tb: 0.750 0.921 0.159
O: 0.250 0.633 0.734
O: 0.750 0.367 0.266

Results
raw formation energy	-1.67	eV per atom
symmetry	No. 63
electronic total energy	-46.3	eV for the cell shown

***

## LiTl2Ni (PBE)

Data for a relaxed LiTl2Ni crystal.

a = 6.384 Å, b = 6.384 Å, c = 6.384 Å
α = 150.77°, β = 139.99°, γ = 50.32°
Sites, in units of the cell vectors:
Li: 0.439 0.439 0.000
Ni: 0.249 0.749 0.500
Tl: 0.047 0.047 0.000
Tl: 0.766 0.266 0.500

Results
symmetry	No. 44
electronic total energy	-12.1	eV for the cell shown
energy of formation	0.0835	eV/atom

***

## Y5Fe3 (PBE)

Data for a relaxed Y5Fe3 crystal.

a = 6.463 Å, b = 6.463 Å, c = 4.555 Å
α = 90.00°, β = 90.00°, γ = 105.56°
Sites, in units of the cell vectors:
Y: 0.000 0.000 0.000
Y: 0.500 0.000 0.000
Y: 0.000 0.500 0.000
Y: 0.700 0.700 0.500
Y: 0.300 0.300 0.500
Fe: 0.500 0.500 0.000
Fe: 0.799 0.201 0.500
Fe: 0.201 0.799 0.500

Results
symmetry	No. 65
electronic total energy	-55.7	eV for the cell shown
energy of formation	0.2553	eV/atom
E above lowest polymorph	0.112	eV/atom

***

## Mg2BeNiOs (PBE)

Data for a relaxed Mg2BeNiOs crystal.

a = 4.902 Å, b = 4.153 Å, c = 4.902 Å
α = 90.00°, β = 90.00°, γ = 90.00°
Sites, in units of the cell vectors:
Ni: 0.500 0.500 0.500
Mg: 0.000 0.000 0.500
Mg: 0.500 0.000 0.000
Os: 0.000 0.000 0.000
Be: 0.000 0.500 0.000

Results
symmetry	No. 123
electronic total energy	-18.7	eV for the cell shown
energy of formation	1.0464	eV/atom